Below is a geometry-optimized CoP2H18N6F12 structure, with properties calculated at the GGA+U level.

a b c (Å): 8.393 8.403 8.436
angles (deg): 119.42 90.88 119.17
Space group P1 (No. 1)
Inequivalent atoms, fractional coordinates:
Co 0.000 0.000 0.000 x1
P 0.247 0.497 0.744 x1
P 0.751 0.504 0.256 x1
H 0.097 0.405 0.205 x1
H 0.113 0.837 0.709 x1
H 0.156 0.836 0.147 x1
H 0.184 0.056 0.337 x1
H 0.190 0.092 0.786 x1
H 0.256 0.400 0.097 x1
H 0.269 0.398 0.291 x1
H 0.303 0.048 0.903 x1
H 0.338 0.084 0.218 x1
H 0.662 0.892 0.761 x1
H 0.693 0.940 0.093 x1
H 0.737 0.600 0.899 x1
H 0.739 0.601 0.704 x1
H 0.818 0.917 0.222 x1
H 0.825 0.158 0.867 x1
H 0.835 0.975 0.674 x1
H 0.881 0.163 0.286 x1
H 0.906 0.597 0.805 x1
N 0.169 0.992 0.831 x1
N 0.174 0.337 0.166 x1
N 0.194 0.993 0.201 x1
N 0.806 0.007 0.800 x1
N 0.826 0.663 0.834 x1
N 0.831 0.007 0.169 x1
F 0.086 0.230 0.588 x1
F 0.096 0.510 0.862 x1
F 0.162 0.548 0.612 x1
F 0.334 0.446 0.877 x1
F 0.399 0.484 0.627 x1
F 0.409 0.765 0.902 x1
F 0.591 0.236 0.104 x1
F 0.605 0.521 0.379 x1
F 0.657 0.547 0.121 x1
F 0.845 0.461 0.390 x1
F 0.899 0.488 0.133 x1
F 0.912 0.772 0.406 x1

DFT total energy (eV/atom): -5.08